First-principles (PBE-GGA) data for a relaxed structure of Pm3Si2Pd, as listed in Alexandria via LeMat-Bulk.

Unit cell a=7.4548 b=7.4548 c=7.4548 alpha=64.39 beta=64.39 gamma=64.39
Last column: nearest neighbours and their distance in Å.
Element x y z (fractional)
Pm  0.0485  0.7500  0.4515  4 Si 2.98-3.04, 2 Pd 3.16
Pm  0.2500  0.5485  0.9515  4 Si 2.98-3.04, 2 Pd 3.16
Pm  0.4515  0.0485  0.7500  4 Si 2.98-3.04, 2 Pd 3.16
Pm  0.5485  0.9515  0.2500  4 Si 2.98-3.04, 2 Pd 3.16
Pm  0.7500  0.4515  0.0485  4 Si 2.98-3.04, 2 Pd 3.16
Pm  0.9515  0.2500  0.5485  4 Si 2.98-3.04, 2 Pd 3.16
Si  0.1423  0.1423  0.1423  1 Pd 2.51
Si  0.3577  0.3577  0.3577  1 Pd 2.51
Si  0.6423  0.6423  0.6423  1 Pd 2.51
Si  0.8577  0.8577  0.8577  1 Pd 2.51
Pd  0.0000  0.0000  0.0000  2 Si 2.51
Pd  0.5000  0.5000  0.5000  2 Si 2.51

Summary:
* E above lowest polymorph: 0.132 eV/atom
* formation energy (no corrections): -0.63 eV per atom
* total DFT energy (no corrections): -5.677 eV/atom
* M_tot: 0.39 μB/f.u.
* volume: 26.76 A^3/atom